Record 1
A plane-wave DFT calculation with PBEsol was carried out for an optimized crystal structure of TaAlCo.

* VASP energy: -7.436 eV per atom
* energy of formation from the pure elements: 690 meV/atom
* total magnetic moment: 0.025 μB per formula unit
* calculated density: 9.21 g/cm3

Geometry as CIF:
```
data_TaAlCo
_chemical_formula_sum 'Ta4 Al4 Co4'
_cell_length_a 5.7734
_cell_length_b 5.7734
_cell_length_c 5.7734
_cell_angle_alpha 90.00
_cell_angle_beta 90.00
_cell_angle_gamma 90.00
_symmetry_space_group_name_H-M 'F -4 3 m'
_symmetry_Int_Tables_number 216
_symmetry_space_group_name_Hall 'F -4 2 3'
loop_
_atom_site_label
_atom_site_type_symbol
_atom_site_fract_x
_atom_site_fract_y
_atom_site_fract_z
_atom_site_occupancy
Ta1 Ta 0.0000 0.0000 0.0000 1
Al1 Al 0.2500 0.2500 0.2500 1
Co1 Co 0.0000 0.0000 0.5000 1
```

Record 2
A plane-wave DFT calculation with PBEsol was carried out for an optimized crystal structure of ZnHg2Mo.

* VASP energy: -3.222 eV per atom
* energy of formation from the pure elements: 398 meV/atom
* total magnetic moment: 0.000 μB per formula unit
* calculated density: 13.28 g/cm3

Geometry as CIF:
```
data_ZnHg2Mo
_chemical_formula_sum 'Zn3 Hg6 Mo3'
_cell_length_a 2.9622
_cell_length_b 2.9622
_cell_length_c 27.7715
_cell_angle_alpha 90.00
_cell_angle_beta 90.00
_cell_angle_gamma 120.00
_symmetry_space_group_name_H-M 'R -3 m'
_symmetry_Int_Tables_number 166
_symmetry_space_group_name_Hall '-R 3 2"'
loop_
_atom_site_label
_atom_site_type_symbol
_atom_site_fract_x
_atom_site_fract_y
_atom_site_fract_z
_atom_site_occupancy
Zn1 Zn 0.0000 0.0000 0.0000 1
Hg1 Hg 0.0000 0.0000 0.2514 1
Mo1 Mo 0.0000 0.0000 0.5000 1
```

Record 3
A plane-wave DFT calculation with PBEsol was carried out for an optimized crystal structure of NaFe2O4.

* VASP energy: -7.205 eV per atom
* total magnetic moment: 3.000 μB per formula unit
* ΔE_f (raw): -10.1 eV per formula unit
* calculated density: 4.43 g/cm3

Geometry as CIF:
```
data_NaFe2O4
_chemical_formula_sum 'Na4 Fe8 O16'
_cell_length_a 5.5328
_cell_length_b 11.2387
_cell_length_c 4.7937
_cell_angle_alpha 90.00
_cell_angle_beta 90.00
_cell_angle_gamma 90.00
_symmetry_space_group_name_H-M 'P m m n'
_symmetry_Int_Tables_number 59
loop_
_symmetry_equiv_pos_as_xyz
'x,y,z'
'-x,-y,-z'
'-x+1/2,-y+1/2,z'
'x+1/2,y+1/2,-z'
'x+1/2,-y,-z'
'-x+1/2,y,z'
'-x,y+1/2,-z'
'x,-y+1/2,z'
loop_
_atom_site_label
_atom_site_type_symbol
_atom_site_fract_x
_atom_site_fract_y
_atom_site_fract_z
_atom_site_occupancy
Na1 Na 0.2500 0.2500 0.0334 1
Na2 Na 0.2500 0.7500 0.3560 1
Fe1 Fe 0.0000 0.0000 0.5000 1
Fe2 Fe 0.2500 0.5034 0.9968 1
O1 O 0.0014 0.0911 0.8333 1
O2 O 0.2500 0.0873 0.3299 1
O3 O 0.2500 0.5908 0.6639 1
```

Record 4
A plane-wave DFT calculation with PBEsol was carried out for an optimized crystal structure of AlHgRh.

* VASP energy: -4.001 eV per atom
* energy of formation from the pure elements: 265 meV/atom
* total magnetic moment: 0.000 μB per formula unit
* calculated density: 9.71 g/cm3

Geometry as CIF:
```
data_AlHgRh
_chemical_formula_sum 'Al4 Hg4 Rh4'
_cell_length_a 6.0924
_cell_length_b 6.0924
_cell_length_c 6.0924
_cell_angle_alpha 90.00
_cell_angle_beta 90.00
_cell_angle_gamma 90.00
_symmetry_space_group_name_H-M 'F -4 3 m'
_symmetry_Int_Tables_number 216
_symmetry_space_group_name_Hall 'F -4 2 3'
loop_
_atom_site_label
_atom_site_type_symbol
_atom_site_fract_x
_atom_site_fract_y
_atom_site_fract_z
_atom_site_occupancy
Al1 Al 0.0000 0.0000 0.0000 1
Hg1 Hg 0.2500 0.2500 0.2500 1
Rh1 Rh 0.0000 0.0000 0.5000 1
```

Among the records above, which one has the lowest calculated density? NaFe2O4